[1]
Material: Na2SrHgF
Method: DFT, GGA-PBE
State: relaxed

- Symmetry: P4/mmm (123)
- Density of states at the Fermi level: 1.88 states/eV/cell
- Total magnetic moment: 0.00 μB/f.u.
- Raw formation energy: -587.0 kJ/mol of formula units

abc: 4.936 4.936 5.148
angles: 90.00 90.00 90.00
Fractional positions:
1 Sr 0.000 0.000 0.500
2 F 0.000 0.000 0.000
3 Hg 0.500 0.500 0.500
4 Na 0.000 0.500 0.000
5 Na 0.500 0.000 0.000

---

[2]
Material: NaSrHgF6
Method: DFT, GGA-PBE
State: relaxed

- Symmetry: P4_2nm (102)
- Density of states at the Fermi level: 10.99 states/eV/cell
- Total magnetic moment: 1.04 μB/f.u.
- Raw formation energy: -2078.8 kJ/mol of formula units

abc: 5.325 5.325 11.110
angles: 90.00 90.00 90.00
Fractional positions:
1 Na 0.500 0.500 0.501
2 Na 0.000 0.000 0.001
3 Sr 0.500 0.500 0.166
4 Sr 0.000 0.000 0.666
5 Hg 0.500 0.500 0.834
6 Hg 0.000 0.000 0.334
7 F 0.193 0.807 0.489
8 F 0.807 0.193 0.489
9 F 0.307 0.307 0.989
10 F 0.693 0.693 0.989
11 F 0.182 0.818 0.174
12 F 0.818 0.182 0.174
13 F 0.318 0.318 0.674
14 F 0.682 0.682 0.674
15 F 0.791 0.209 0.836
16 F 0.209 0.791 0.836
17 F 0.709 0.709 0.336
18 F 0.291 0.291 0.336

---

[3]
Material: NaTbHgF6
Method: DFT, GGA-PBE
State: relaxed

- Symmetry: P-31c (163)
- Density of states at the Fermi level: 0.00 states/eV/cell
- Total magnetic moment: 0.00 μB/f.u.
- Raw formation energy: -2487.9 kJ/mol of formula units

abc: 6.054 6.054 9.396
angles: 90.00 90.00 120.00
Fractional positions:
1 Na 0.000 0.000 0.000
2 Na 0.000 0.000 0.500
3 Tb 0.667 0.333 0.250
4 Tb 0.333 0.667 0.750
5 Hg 0.333 0.667 0.250
6 Hg 0.667 0.333 0.750
7 F 0.664 0.647 0.130
8 F 0.983 0.336 0.130
9 F 0.336 0.983 0.630
10 F 0.017 0.664 0.870
11 F 0.353 0.336 0.370
12 F 0.983 0.647 0.370
13 F 0.647 0.983 0.870
14 F 0.664 0.017 0.370
15 F 0.017 0.353 0.630
16 F 0.353 0.017 0.130
17 F 0.647 0.664 0.630
18 F 0.336 0.353 0.870